# 1
{
  "formula": "LiLaNdLu",
  "functional": "PBE",
  "state": "optimized geometry",
  "lattice_angstrom": [[5.595, 0.000, 0.000], [2.798, 4.846, 0.000], [2.798, 1.615, 4.569]],
  "species": ["Lu", "Nd", "La", "Li"],
  "fractional_positions": [[0.750, 0.750, 0.750], [0.500, 0.500, 0.500], [0.000, 0.000, 0.000], [0.250, 0.250, 0.250]],
  "final_energy_ev_per_atom": -3.904,
  "formation_enthalpy_0k_ev_per_atom": 0.13,
  "spacegroup": "F-43m"
}



# 2
{
  "formula": "LiDyScSn",
  "functional": "PBE",
  "state": "optimized geometry",
  "lattice_angstrom": [[5.070, 0.000, 0.000], [2.535, 4.391, 0.000], [2.535, 1.464, 4.140]],
  "species": ["Sc", "Li", "Sn", "Dy"],
  "fractional_positions": [[0.500, 0.500, 0.500], [0.750, 0.750, 0.750], [0.250, 0.250, 0.250], [0.000, 0.000, 0.000]],
  "final_energy_ev_per_atom": -4.611,
  "formation_enthalpy_0k_ev_per_atom": -0.40,
  "spacegroup": "F-43m"
}



# 3
{
  "formula": "ZnFeHg2",
  "functional": "PBE",
  "state": "optimized geometry",
  "lattice_angstrom": [[-3.729, -2.353, 0.821], [1.383, -2.551, -1.032], [1.712, -1.034, 4.813]],
  "species": ["Fe", "Hg", "Hg", "Zn"],
  "fractional_positions": [[0.500, 0.624, 0.776], [0.000, 0.123, 0.936], [0.500, 0.127, 0.307], [0.000, 0.626, 0.481]],
  "final_energy_ev_per_atom": -2.255,
  "formation_enthalpy_0k_ev_per_atom": 0.33,
  "spacegroup": "Pm"
}



# 4
{
  "formula": "NaTbAl4",
  "functional": "PBE",
  "state": "optimized geometry",
  "lattice_angstrom": [[-1.172, 2.246, -4.973], [-2.703, -3.003, -3.851], [-5.275, 1.256, -1.321]],
  "species": ["Na", "Tb", "Al", "Al", "Al", "Al"],
  "fractional_positions": [[0.250, 0.250, 0.250], [0.000, 0.000, 0.000], [0.626, 0.626, 0.123], [0.626, 0.123, 0.626], [0.626, 0.626, 0.626], [0.123, 0.626, 0.626]],
  "final_energy_ev_per_atom": -3.705,
  "formation_enthalpy_0k_ev_per_atom": -0.22,
  "spacegroup": "F-43m"
}



# 5
{
  "formula": "LiPuPaTc",
  "functional": "PBE",
  "state": "optimized geometry",
  "lattice_angstrom": [[4.862, 0.000, 0.000], [2.431, 4.210, 0.000], [2.431, 1.403, 3.970]],
  "species": ["Pa", "Li", "Tc", "Pu"],
  "fractional_positions": [[0.250, 0.250, 0.250], [0.000, 0.000, 0.000], [0.500, 0.500, 0.500], [0.750, 0.750, 0.750]],
  "final_energy_ev_per_atom": -8.885,
  "formation_enthalpy_0k_ev_per_atom": 0.14,
  "spacegroup": "F-43m"
}